{"formula": "Li2MnIO6", "functional": "GGA+U", "state": "optimized geometry", "total_energy_ev_per_cell": -54.1, "m_tot_mub_per_fu": 4.00, "lattice_angstrom": [[2.573, 1.485, 4.534], [-2.573, 1.485, 4.534], [0.000, -2.971, 4.534]], "species": ["Li", "Li", "Mn", "I", "O", "O", "O", "O", "O", "O"], "fractional_positions": [[0.000, 0.000, 0.000], [0.491, 0.491, 0.491], [0.281, 0.281, 0.281], [0.786, 0.786, 0.786], [0.045, 0.421, 0.671], [0.156, 0.895, 0.566], [0.421, 0.671, 0.045], [0.566, 0.156, 0.895], [0.671, 0.045, 0.421], [0.895, 0.566, 0.156]]}